(1)
Here is a relaxed PmPr3Pd3 crystal from the Alexandria database. Energies are from PBE-GGA.

## Properties
Energy of formation = -585 meV/atom
Calculated total energy = -77.526 eV per cell
ρ = 7.75 Mg/m³

Cell lengths 7.232, 7.232, 7.314 Å; angles 90.86, 90.86, 96.59 degrees
Positions (direct):
Pm (0.743, 0.743, 0.876)
Pm (0.257, 0.257, 0.124)
Pr (0.656, 0.656, 0.374)
Pr (0.177, 0.823, 0.500)
Pr (0.823, 0.177, 0.500)
Pr (0.252, 0.748, 0.000)
Pr (0.748, 0.252, 0.000)
Pr (0.344, 0.344, 0.626)
Pd (0.937, 0.937, 0.189)
Pd (0.984, 0.497, 0.721)
Pd (0.497, 0.984, 0.721)
Pd (0.016, 0.503, 0.279)
Pd (0.503, 0.016, 0.279)
Pd (0.063, 0.063, 0.811)


(2)
Here is a relaxed Pm6DySe8 crystal from the Alexandria database. Energies are from PBE-GGA.

## Properties
Calculated total energy = -89.129 eV per cell
Formation energy without anion corrections = -1876.4 meV per atom
ρ = 6.70 Mg/m³

Cell lengths 8.355, 8.355, 8.355 Å; angles 60.00, 60.00, 60.00 degrees
Positions (direct):
Pm (0.000, 0.500, 0.500)
Pm (0.500, 0.000, 0.000)
Pm (0.500, 0.500, 0.000)
Pm (0.000, 0.000, 0.500)
Pm (0.000, 0.500, 0.000)
Pm (0.500, 0.000, 0.500)
Dy (0.000, 0.000, 0.000)
Se (0.750, 0.750, 0.750)
Se (0.250, 0.250, 0.250)
Se (0.752, 0.248, 0.248)
Se (0.248, 0.752, 0.752)
Se (0.248, 0.248, 0.752)
Se (0.752, 0.752, 0.248)
Se (0.752, 0.248, 0.752)
Se (0.248, 0.752, 0.248)


(3)
Here is a relaxed HfMnB2Pb crystal from the Alexandria database. Energies are from PBE-GGA.

## Properties
Energy of formation = 1637 meV/atom
Calculated total energy = -28.003 eV per cell
ρ = 7.89 Mg/m³
Energy above the lowest structure with this stoichiometry = 676 meV per atom

Cell lengths 4.516, 4.773, 4.516 Å; angles 90.00, 90.00, 90.00 degrees
Positions (direct):
Pb (0.500, 0.500, 0.500)
B (0.000, 0.000, 0.500)
B (0.500, 0.000, 0.000)
Mn (0.000, 0.500, 0.000)
Hf (0.000, 0.000, 0.000)


(4)
Here is a relaxed La3CeNd2Sb6 crystal from the Alexandria database. Energies are from PBE-GGA.

## Properties
Calculated total energy = -69.540 eV per cell
Formation energy without anion corrections = -1212.8 meV per atom
ρ = 6.45 Mg/m³

Cell lengths 7.917, 7.917, 7.925 Å; angles 99.58, 99.58, 120.00 degrees
Positions (direct):
La (0.167, 0.833, 0.500)
La (0.833, 0.167, 0.500)
La (0.500, 0.500, 0.500)
Ce (0.000, 0.000, 0.000)
Nd (0.334, 0.666, 0.000)
Nd (0.666, 0.334, 0.000)
Sb (0.919, 0.588, 0.756)
Sb (0.751, 0.751, 0.244)
Sb (0.081, 0.412, 0.244)
Sb (0.588, 0.919, 0.756)
Sb (0.249, 0.249, 0.756)
Sb (0.412, 0.081, 0.244)